(1)
Computed, not measured: Sr3Tb3CdSe8 after structural relaxation at the GGA-PBE level of DFT.

a = 8.3796 Å, b = 8.3796 Å, c = 21.3100 Å
α = 90.00°, β = 90.00°, γ = 120.00°
Space group R-3m (No. 166, hexagonal axes)
One atom of each set of equivalent atoms:
Sr 0.0000 0.5000 0.0000 x9
Tb 0.0000 0.5000 0.5000 x9
Cd 0.0000 0.0000 0.5000 x3
Se 0.0000 0.0000 0.2437 x6
Se 0.0030 0.5015 0.7576 x18

Values from the calculation:
Electronic total energy (eV/atom): -4.915
Crystal system: trigonal

=====

(2)
Computed, not measured: Sr3Tm3CdSe8 after structural relaxation at the GGA-PBE level of DFT.

a = 8.2898 Å, b = 8.2898 Å, c = 21.1945 Å
α = 90.00°, β = 90.00°, γ = 120.00°
Space group R-3m (No. 166, hexagonal axes)
One atom of each set of equivalent atoms:
Sr 0.0000 0.5000 0.0000 x9
Tm 0.0000 0.5000 0.5000 x9
Cd 0.0000 0.0000 0.5000 x3
Se 0.0000 0.0000 0.2420 x6
Se 0.0071 0.5035 0.7585 x18

Values from the calculation:
Electronic total energy (eV/atom): -4.863
Crystal system: trigonal

=====

(3)
Computed, not measured: SrY2CdSe after structural relaxation at the GGA-PBE level of DFT.

a = 5.4617 Å, b = 5.4617 Å, c = 5.7044 Å
α = 90.00°, β = 90.00°, γ = 90.00°
Space group P4/mmm (No. 123)
One atom of each set of equivalent atoms:
Sr 0.0000 0.0000 0.0000 x1
Y 0.0000 0.5000 0.5000 x2
Cd 0.5000 0.5000 0.0000 x1
Se 0.5000 0.5000 0.5000 x1

Values from the calculation:
Electronic total energy (eV/atom): -4.107
Crystal system: tetragonal

=====

(4)
Computed, not measured: TaCd2Se after structural relaxation at the GGA-PBE level of DFT.

a = 9.9129 Å, b = 3.2973 Å, c = 5.5389 Å
α = 90.00°, β = 114.97°, γ = 90.00°
Space group Cm (No. 8)
One atom of each set of equivalent atoms:
Ta 0.0000 0.0000 0.0000 x2
Cd 0.0118 0.5000 0.5615 x2
Cd 0.2466 0.5000 0.4162 x2
Se 0.2954 0.0000 0.9854 x2

Values from the calculation:
Electronic total energy (eV/atom): -4.214
Crystal system: monoclinic

=====

(5)
Computed, not measured: TaCd2Se after structural relaxation at the GGA-PBE level of DFT.

a = 3.0531 Å, b = 4.1845 Å, c = 14.2133 Å
α = 90.00°, β = 90.00°, γ = 90.00°
Space group Immm (No. 71)
One atom of each set of equivalent atoms:
Ta 0.0000 0.0000 0.0000 x2
Cd 0.0000 0.5000 0.3112 x4
Se 0.0000 0.0000 0.5000 x2

Values from the calculation:
Electronic total energy (eV/atom): -4.164
Crystal system: orthorhombic

=====

(6)
Computed, not measured: Ta2CdSe after structural relaxation at the GGA-PBE level of DFT.

a = 10.0395 Å, b = 3.1294 Å, c = 4.9042 Å
α = 90.00°, β = 104.47°, γ = 90.00°
Space group Cm (No. 8)
One atom of each set of equivalent atoms:
Ta 0.0000 0.0000 0.0000 x2
Ta 0.2148 0.0000 0.6619 x2
Cd 0.4658 0.0000 0.4858 x2
Se 0.2184 0.5000 0.1234 x2

Values from the calculation:
Polymorph energy (0 for the lowest one) (meV per atom): 228
Crystal system: monoclinic

=====

no.,mass density (g/cm³)
1,5.7
2,6.0
3,4.5
4,9.8
5,8.9
6,12.3